Entry 1:
Density functional theory data (GGA-PBE) for a geometry-optimized Ce7Sb2Pt2 structure.

abc: 7.138 7.138 6.612
angles: 90.06 90.06 73.79
Element x y z (fractional)
Ce (0.000, 0.000, 0.000)
Ce (0.000, 0.500, 0.287)
Ce (0.000, 0.500, 0.713)
Ce (0.500, 0.000, 0.287)
Ce (0.500, 0.000, 0.713)
Ce (0.500, 0.500, 0.213)
Ce (0.500, 0.500, 0.787)
Sb (0.189, 0.811, 0.500)
Sb (0.811, 0.189, 0.500)
Pt (0.261, 0.261, 0.000)
Pt (0.739, 0.739, 0.000)

Computed properties:
* space-group type: C2/m, No. 12
* formation energy without anion corrections: -565 meV/atom
* crystal system: monoclinic
* theoretical density: 8.3 g/cm³



Entry 2:
Density functional theory data (GGA-PBE) for a geometry-optimized Zn2AsRu2 structure.

abc: 6.230 6.230 4.018
angles: 90.00 90.00 90.00
Element x y z (fractional)
Zn (0.149, 0.351, 0.000)
Zn (0.351, 0.851, 0.000)
Zn (0.649, 0.149, 0.000)
Zn (0.851, 0.649, 0.000)
As (0.000, 0.000, 0.500)
As (0.500, 0.500, 0.500)
Ru (0.153, 0.653, 0.500)
Ru (0.347, 0.153, 0.500)
Ru (0.653, 0.847, 0.500)
Ru (0.847, 0.347, 0.500)

Computed properties:
* space-group type: P4/mbm, No. 127
* formation energy from the elements: -0.09 eV per atom
* crystal system: tetragonal
* theoretical density: 8.7 g/cm³